# Ta3NbO GGA-PBE relaxed
# V, Å³ per atom: 23.26
# VASP energy, eV/atom: -7.95
# Offset from the most stable computed form, eV per atom: 2.707
data_Ta3NbO
_chemical_formula_sum 'Ta3 Nb1 O1'
_symmetry_space_group_name_H-M 'P m -3 m'
_symmetry_Int_Tables_number 221
_symmetry_space_group_name_Hall '-P 4 2 3'
_cell_length_a 4.8814
_cell_length_b 4.8814
_cell_length_c 4.8814
_cell_angle_alpha 90.00
_cell_angle_beta 90.00
_cell_angle_gamma 90.00
loop_
_atom_site_label
_atom_site_fract_x
_atom_site_fract_y
_atom_site_fract_z
Ta1 0.0000 0.0000 0.5000
Nb1 0.0000 0.0000 0.0000
O1 0.5000 0.5000 0.5000